Al2TlAg | PBEsol | optimized geometry

Fermi-level density of states (states/eV/atom): 0.40
DFT total energy (eV/atom): -3.268
Total moment (μB/f.u.): 0.00

a = 6.818 Å, b = 6.818 Å, c = 6.818 Å
α = 90.00°, β = 90.00°, γ = 90.00°
Space group F-43m (No. 216)
One atom of each set of equivalent atoms:
Al1 0.000 0.000 0.000 x4
Al2 0.250 0.250 0.250 x4
Tl1 0.250 0.250 0.750 x4
Ag1 0.000 0.000 0.500 x4